(1)
This record from the Alexandria database describes a geometry-optimized Zr3Sb2Rh structure. The functional is PBE-GGA.

space group = No. 62
VASP energy = -181.04 eV per cell
spin magnetization = 0.000 μB/cell
formation energy without anion corrections = -4.02 eV/f.u.

a = 4.194 Å, b = 10.692 Å, c = 11.585 Å
α = 90.00°, β = 90.00°, γ = 90.00°
Positions (direct):
Zr: 0.250 0.383 0.030
Zr: 0.750 0.617 0.970
Zr: 0.750 0.883 0.470
Zr: 0.250 0.117 0.530
Zr: 0.250 0.674 0.197
Zr: 0.750 0.326 0.803
Zr: 0.750 0.174 0.303
Zr: 0.250 0.826 0.697
Zr: 0.250 0.428 0.377
Zr: 0.750 0.572 0.623
Zr: 0.750 0.928 0.123
Zr: 0.250 0.072 0.877
Sb: 0.250 0.686 0.480
Sb: 0.750 0.314 0.520
Sb: 0.750 0.186 0.020
Sb: 0.250 0.814 0.980
Sb: 0.250 0.965 0.307
Sb: 0.750 0.035 0.693
Sb: 0.750 0.465 0.193
Sb: 0.250 0.535 0.807
Rh: 0.250 0.149 0.153
Rh: 0.750 0.851 0.847
Rh: 0.750 0.649 0.347
Rh: 0.250 0.351 0.653



(2)
This record from the Alexandria database describes a geometry-optimized Zr2SbRh structure. The functional is PBE-GGA.

space group = No. 122
VASP energy = -60.17 eV per cell
spin magnetization = 0.000 μB/cell
formation energy without anion corrections = -1.51 eV/f.u.

a = 7.621 Å, b = 7.621 Å, c = 6.162 Å
α = 51.80°, β = 51.80°, γ = 90.00°
Positions (direct):
Sb: 0.000 0.000 0.000
Sb: 0.750 0.250 0.500
Rh: 0.500 0.500 0.000
Rh: 0.250 0.750 0.500
Zr: 0.591 0.125 0.250
Zr: 0.159 0.625 0.250
Zr: 0.375 0.409 0.750
Zr: 0.875 0.841 0.750